Record 1
A plane-wave DFT calculation with PBE was carried out for crystalline Tb3TmNi at its relaxed geometry.

Cell lengths 12.046, 3.608, 13.782 Å; angles 90.00, 115.40, 90.00 degrees
Space group Cm (No. 8)
One atom of each set of equivalent atoms:
1 Tb 0.000 0.000 0.000 (multiplicity 2)
2 Tb 0.045 0.000 0.596 (multiplicity 2)
3 Tb 0.120 0.500 0.841 (multiplicity 2)
4 Tb 0.195 0.500 0.240 (multiplicity 2)
5 Tb 0.266 0.000 0.479 (multiplicity 2)
6 Tb 0.330 0.500 0.722 (multiplicity 2)
7 Tm 0.314 0.000 0.082 (multiplicity 2)
8 Tm 0.480 0.000 0.354 (multiplicity 2)
9 Ni 0.317 0.000 0.873 (multiplicity 2)
10 Ni 0.493 0.500 0.207 (multiplicity 2)

Properties
Total magnetic moment, μB/f.u.: 0.00
Formation energy from the elements, meV/atom: -174
N(E_F), states/eV/f.u.: 6.681

Record 2
A plane-wave DFT calculation with PBE was carried out for crystalline Si2SbOs at its relaxed geometry.

Cell lengths 4.044, 4.044, 4.078 Å; angles 90.00, 90.00, 90.00 degrees
Space group P4/mmm (No. 123)
One atom of each set of equivalent atoms:
1 Si 0.000 0.500 0.000 (multiplicity 2)
2 Sb 0.000 0.000 0.500 (multiplicity 1)
3 Os 0.500 0.500 0.500 (multiplicity 1)

Properties
Calculated total energy, eV/atom: -5.76
Total magnetic moment, μB/f.u.: 0.00
N(E_F), states/eV/f.u.: 2.037

Record 3
A plane-wave DFT calculation with PBE was carried out for crystalline NaLi4Ag at its relaxed geometry.

Cell lengths 9.911, 4.946, 4.832 Å; angles 90.00, 90.05, 90.00 degrees
Space group C2/m (No. 12)
One atom of each set of equivalent atoms:
1 Na 0.000 0.000 0.000 (multiplicity 2)
2 Li 0.157 0.500 0.999 (multiplicity 4)
3 Li 0.176 0.000 0.501 (multiplicity 4)
4 Ag 0.000 0.500 0.500 (multiplicity 2)

Properties
Total magnetic moment, μB/f.u.: 0.00
Formation energy from the elements, meV/atom: -35
N(E_F), states/eV/f.u.: 2.436

Record 4
A plane-wave DFT calculation with PBE was carried out for crystalline Ce2Pu3TaN6 at its relaxed geometry.

Cell lengths 5.984, 10.363, 5.894 Å; angles 90.00, 109.58, 90.00 degrees
Space group C2/m (No. 12)
One atom of each set of equivalent atoms:
1 Ce 0.000 0.166 0.000 (multiplicity 4)
2 Pu 0.000 0.000 0.500 (multiplicity 2)
3 Pu 0.000 0.333 0.500 (multiplicity 4)
4 Ta 0.000 0.500 0.000 (multiplicity 2)
5 N 0.222 0.500 0.756 (multiplicity 4)
6 N 0.230 0.349 0.238 (multiplicity 8)

Properties
Calculated total energy, eV/atom: -11.06
Total magnetic moment, μB/f.u.: 15.09
N(E_F), states/eV/f.u.: 17.171

Among the records above, which one has the lowest N(E_F)?
Si2SbOs